Below is an optimized crystal structure of MnBePIrF, with properties calculated at the GGA+U level.

Geometry as POSCAR:
```
MnBePIrF
1.0
5.065 -1.416 0.000
5.065 1.416 0.000
-3.471 0.000 5.389
Mn Be P Ir F
1 1 1 1 1
direct
0.000 0.000 0.000 Mn
0.396 0.396 0.532 Be
0.362 0.362 0.150 P
0.661 0.661 0.869 Ir
0.801 0.801 0.510 F
```

DFT total energy = -6.1587 eV per atom